[1]
Below is crystalline Na2InAu at its relaxed geometry, with properties calculated at the PBE level.

a b c (Å): 11.275 11.275 11.275
angles (deg): 16.47 16.47 16.47
Element x y z (fractional)
Na (0.096, 0.096, 0.096)
Na (0.904, 0.904, 0.904)
In (0.000, 0.000, 0.000)
Au (0.500, 0.500, 0.500)

Results
D(E_F), states/eV/atom: 0.229
Formation energy, meV/atom: -20
DFT total energy, eV/atom: -2.183
ρ, g cm⁻³: 5.913
Total magnetic moment, μB per formula unit: 0.000


[2]
Below is crystalline NaIn3Au2 at its relaxed geometry, with properties calculated at the PBE level.

a b c (Å): 8.654 8.654 8.654
angles (deg): 148.90 120.00 69.13
Element x y z (fractional)
Na (0.122, 0.122, 0.000)
Na (0.878, 0.878, 0.000)
In (0.121, 0.323, 0.798)
In (0.334, 0.000, 0.334)
In (0.475, 0.677, 0.798)
In (0.525, 0.323, 0.202)
In (0.666, 0.000, 0.666)
In (0.879, 0.677, 0.202)
Au (0.159, 0.500, 0.659)
Au (0.300, 0.800, 0.500)
Au (0.700, 0.200, 0.500)
Au (0.841, 0.500, 0.341)

Results
D(E_F), states/eV/atom: 0.355
Formation energy, meV/atom: -250
E above lowest polymorph, meV per atom: 0
DFT total energy, eV/atom: -2.932
ρ, g cm⁻³: 8.835
Total magnetic moment, μB per formula unit: 0.000


[3]
Below is crystalline Na4In3Au2 at its relaxed geometry, with properties calculated at the PBE level.

a b c (Å): 8.218 8.218 7.399
angles (deg): 109.94 109.94 31.39
Element x y z (fractional)
Na (0.103, 0.103, 0.359)
Na (0.271, 0.271, 0.839)
Na (0.729, 0.729, 0.161)
Na (0.897, 0.897, 0.641)
In (0.407, 0.407, 0.326)
In (0.500, 0.500, 0.000)
In (0.593, 0.593, 0.674)
Au (0.094, 0.094, 0.915)
Au (0.906, 0.906, 0.085)

Results
D(E_F), states/eV/atom: 0.305
Formation energy, meV/atom: -232
DFT total energy, eV/atom: -2.459
ρ, g cm⁻³: 5.664
Total magnetic moment, μB per formula unit: 0.000


[4]
Below is crystalline Na12InAu6 at its relaxed geometry, with properties calculated at the PBE level.

a b c (Å): 7.761 7.761 7.761
angles (deg): 88.48 88.48 88.48
Element x y z (fractional)
Na (0.027, 0.314, 0.913)
Na (0.087, 0.973, 0.686)
Na (0.115, 0.352, 0.472)
Na (0.314, 0.913, 0.027)
Na (0.352, 0.472, 0.115)
Na (0.472, 0.115, 0.352)
Na (0.528, 0.885, 0.648)
Na (0.648, 0.528, 0.885)
Na (0.686, 0.087, 0.973)
Na (0.885, 0.648, 0.528)
Na (0.913, 0.027, 0.314)
Na (0.973, 0.686, 0.087)
In (0.500, 0.500, 0.500)
Au (0.238, 0.758, 0.385)
Au (0.242, 0.615, 0.762)
Au (0.385, 0.238, 0.758)
Au (0.615, 0.762, 0.242)
Au (0.758, 0.385, 0.238)
Au (0.762, 0.242, 0.615)

Results
D(E_F), states/eV/atom: 0.337
Formation energy, meV/atom: -225
DFT total energy, eV/atom: -2.237
ρ, g cm⁻³: 5.593
Total magnetic moment, μB per formula unit: 0.000


[5]
Below is crystalline NaIn2Au6 at its relaxed geometry, with properties calculated at the PBE level.

a b c (Å): 8.771 8.771 5.198
angles (deg): 90.25 90.25 119.02
Element x y z (fractional)
Na (0.250, 0.750, 0.750)
Na (0.750, 0.250, 0.250)
In (0.157, 0.343, 0.500)
In (0.343, 0.157, 0.000)
In (0.657, 0.843, 0.000)
In (0.843, 0.657, 0.500)
Au (0.004, 0.166, 0.997)
Au (0.086, 0.585, 0.242)
Au (0.166, 0.004, 0.497)
Au (0.334, 0.495, 0.004)
Au (0.415, 0.914, 0.258)
Au (0.495, 0.334, 0.504)
Au (0.505, 0.666, 0.496)
Au (0.585, 0.086, 0.742)
Au (0.666, 0.505, 0.996)
Au (0.834, 0.996, 0.503)
Au (0.914, 0.415, 0.758)
Au (0.996, 0.834, 0.003)

Results
D(E_F), states/eV/atom: 0.211
Formation energy, meV/atom: -174
E above lowest polymorph, meV per atom: 0
DFT total energy, eV/atom: -3.114
ρ, g cm⁻³: 13.624
Total magnetic moment, μB per formula unit: 0.000


[6]
Below is crystalline Na5In4Au4 at its relaxed geometry, with properties calculated at the PBE level.

a b c (Å): 8.951 8.951 8.951
angles (deg): 93.36 93.36 151.99
Element x y z (fractional)
Na (0.000, 0.000, 0.000)
Na (0.302, 0.630, 0.932)
Na (0.370, 0.302, 0.673)
Na (0.630, 0.698, 0.327)
Na (0.698, 0.370, 0.068)
In (0.111, 0.411, 0.522)
In (0.411, 0.889, 0.300)
In (0.589, 0.111, 0.700)
In (0.889, 0.589, 0.478)
Au (0.055, 0.757, 0.812)
Au (0.243, 0.055, 0.298)
Au (0.757, 0.945, 0.702)
Au (0.945, 0.243, 0.188)

Results
D(E_F), states/eV/atom: 0.309
Formation energy, meV/atom: -246
DFT total energy, eV/atom: -2.604
ρ, g cm⁻³: 6.921
Total magnetic moment, μB per formula unit: 0.000


[7]
Below is crystalline NaIn3Au at its relaxed geometry, with properties calculated at the PBE level.

a b c (Å): 7.485 4.410 8.131
angles (deg): 90.00 107.11 90.00
Element x y z (fractional)
Na (0.191, 0.250, 0.170)
Na (0.809, 0.750, 0.830)
In (0.073, 0.250, 0.664)
In (0.314, 0.750, 0.905)
In (0.342, 0.750, 0.516)
In (0.658, 0.250, 0.484)
In (0.686, 0.250, 0.095)
In (0.927, 0.750, 0.336)
Au (0.481, 0.250, 0.748)
Au (0.519, 0.750, 0.252)

Results
D(E_F), states/eV/atom: 0.432
Formation energy, meV/atom: -189
E above lowest polymorph, meV per atom: 0
DFT total energy, eV/atom: -2.751
ρ, g cm⁻³: 7.308
Total magnetic moment, μB per formula unit: 0.000


[8]
Below is crystalline Na3InAu4 at its relaxed geometry, with properties calculated at the PBE level.

a b c (Å): 4.650 5.885 7.361
angles (deg): 75.51 89.96 67.01
Element x y z (fractional)
Na (0.000, 0.000, 0.000)
Na (0.259, 0.481, 0.329)
Na (0.518, 0.965, 0.660)
In (0.259, 0.483, 0.829)
Au (0.564, 0.870, 0.277)
Au (0.717, 0.565, 0.027)
Au (0.801, 0.399, 0.632)
Au (0.955, 0.093, 0.383)

Results
D(E_F), states/eV/atom: 0.362
Formation energy, meV/atom: -262
DFT total energy, eV/atom: -2.738
ρ, g cm⁻³: 9.041
Total magnetic moment, μB per formula unit: 0.000


[9]
Below is crystalline NaIn3Au at its relaxed geometry, with properties calculated at the PBE level.

a b c (Å): 5.457 5.457 5.457
angles (deg): 90.00 90.00 90.00
Element x y z (fractional)
Na (0.000, 0.000, 0.000)
In (0.000, 0.000, 0.500)
In (0.000, 0.500, 0.000)
In (0.500, 0.000, 0.000)
Au (0.500, 0.500, 0.500)

Results
D(E_F), states/eV/atom: 0.559
Formation energy, meV/atom: 635
E above lowest polymorph, meV per atom: 824
DFT total energy, eV/atom: -1.927
ρ, g cm⁻³: 5.766
Total magnetic moment, μB per formula unit: 0.000


[10]
Below is crystalline NaIn2Au6 at its relaxed geometry, with properties calculated at the PBE level.

a b c (Å): 7.621 7.621 5.184
angles (deg): 95.79 95.79 42.68
Element x y z (fractional)
Na (0.000, 0.000, 0.000)
In (0.346, 0.346, 0.706)
In (0.654, 0.654, 0.294)
Au (0.075, 0.577, 0.199)
Au (0.248, 0.752, 0.500)
Au (0.423, 0.925, 0.801)
Au (0.577, 0.075, 0.199)
Au (0.752, 0.248, 0.500)
Au (0.925, 0.423, 0.801)

Results
D(E_F), states/eV/atom: 0.262
Formation energy, meV/atom: -136
E above lowest polymorph, meV per atom: 37
DFT total energy, eV/atom: -3.076
ρ, g cm⁻³: 11.739
Total magnetic moment, μB per formula unit: 0.000


[11]
Below is crystalline NaInAu3 at its relaxed geometry, with properties calculated at the PBE level.

a b c (Å): 6.912 6.912 6.912
angles (deg): 131.65 110.96 88.72
Element x y z (fractional)
Na (0.253, 0.003, 0.250)
Na (0.747, 0.997, 0.750)
In (0.000, 0.500, 0.500)
In (0.500, 0.500, 0.000)
Au (0.179, 0.000, 0.679)
Au (0.179, 0.500, 0.179)
Au (0.445, 0.695, 0.750)
Au (0.555, 0.305, 0.250)
Au (0.821, 0.000, 0.321)
Au (0.821, 0.500, 0.821)

Results
D(E_F), states/eV/atom: 0.407
Formation energy, meV/atom: -207
E above lowest polymorph, meV per atom: 11
DFT total energy, eV/atom: -2.985
ρ, g cm⁻³: 11.041
Total magnetic moment, μB per formula unit: 0.000


[12]
Below is crystalline Na2In3Au at its relaxed geometry, with properties calculated at the PBE level.

a b c (Å): 3.457 4.979 8.785
angles (deg): 90.00 90.00 90.00
Element x y z (fractional)
Na (0.000, 0.000, 0.000)
Na (0.000, 0.500, 0.464)
In (0.500, 0.000, 0.630)
In (0.500, 0.500, 0.157)
In (0.500, 0.500, 0.814)
Au (0.500, 0.000, 0.309)

Results
D(E_F), states/eV/atom: 0.356
Formation energy, meV/atom: -200
DFT total energy, eV/atom: -2.555
ρ, g cm⁻³: 6.451
Total magnetic moment, μB per formula unit: 0.000


[13]
Below is crystalline NaIn4Au2 at its relaxed geometry, with properties calculated at the PBE level.

a b c (Å): 18.564 4.591 7.843
angles (deg): 90.00 90.00 90.00
Element x y z (fractional)
Na (0.146, 0.250, 0.060)
Na (0.354, 0.750, 0.560)
Na (0.646, 0.250, 0.440)
Na (0.854, 0.750, 0.940)
In (0.034, 0.750, 0.876)
In (0.068, 0.250, 0.487)
In (0.185, 0.750, 0.756)
In (0.190, 0.750, 0.348)
In (0.310, 0.250, 0.848)
In (0.315, 0.250, 0.256)
In (0.432, 0.750, 0.987)
In (0.466, 0.250, 0.376)
In (0.534, 0.750, 0.624)
In (0.568, 0.250, 0.013)
In (0.685, 0.750, 0.744)
In (0.690, 0.750, 0.152)
In (0.810, 0.250, 0.652)
In (0.815, 0.250, 0.244)
In (0.932, 0.750, 0.513)
In (0.966, 0.250, 0.124)
Au (0.042, 0.750, 0.253)
Au (0.221, 0.250, 0.553)
Au (0.279, 0.750, 0.053)
Au (0.458, 0.250, 0.753)
Au (0.542, 0.750, 0.247)
Au (0.721, 0.250, 0.947)
Au (0.779, 0.750, 0.447)
Au (0.958, 0.250, 0.747)

Results
D(E_F), states/eV/atom: 0.480
Formation energy, meV/atom: -249
E above lowest polymorph, meV per atom: 0
DFT total energy, eV/atom: -2.939
ρ, g cm⁻³: 8.707
Total magnetic moment, μB per formula unit: 0.000


[14]
Below is crystalline Na12In3Au at its relaxed geometry, with properties calculated at the PBE level.

a b c (Å): 4.863 4.863 19.630
angles (deg): 90.00 90.00 90.00
Element x y z (fractional)
Na (0.000, 0.000, 0.000)
Na (0.000, 0.000, 0.241)
Na (0.000, 0.000, 0.500)
Na (0.000, 0.000, 0.759)
Na (0.000, 0.500, 0.111)
Na (0.000, 0.500, 0.371)
Na (0.000, 0.500, 0.629)
Na (0.000, 0.500, 0.889)
Na (0.500, 0.000, 0.111)
Na (0.500, 0.000, 0.371)
Na (0.500, 0.000, 0.629)
Na (0.500, 0.000, 0.889)
In (0.500, 0.500, 0.244)
In (0.500, 0.500, 0.500)
In (0.500, 0.500, 0.756)
Au (0.500, 0.500, 0.000)

Results
D(E_F), states/eV/atom: 0.439
Formation energy, meV/atom: -69
DFT total energy, eV/atom: -1.777
ρ, g cm⁻³: 2.924
Total magnetic moment, μB per formula unit: 0.000


[15]
Below is crystalline Na3In4Au2 at its relaxed geometry, with properties calculated at the PBE level.

a b c (Å): 6.037 6.037 9.269
angles (deg): 119.80 119.80 48.81
Element x y z (fractional)
Na (0.000, 0.000, 0.000)
Na (0.339, 0.339, 0.329)
Na (0.661, 0.661, 0.671)
In (0.085, 0.085, 0.409)
In (0.305, 0.305, 0.962)
In (0.695, 0.695, 0.038)
In (0.915, 0.915, 0.591)
Au (0.388, 0.388, 0.722)
Au (0.612, 0.612, 0.278)

Results
D(E_F), states/eV/atom: 0.375
Formation energy, meV/atom: -265
E above lowest polymorph, meV per atom: 0
DFT total energy, eV/atom: -2.650
ρ, g cm⁻³: 7.190
Total magnetic moment, μB per formula unit: 0.000


[16]
Below is crystalline NaIn6Au4 at its relaxed geometry, with properties calculated at the PBE level.

a b c (Å): 5.856 5.856 8.683
angles (deg): 110.48 110.48 86.79
Element x y z (fractional)
Na (0.000, 0.000, 0.000)
In (0.009, 0.505, 0.010)
In (0.078, 0.571, 0.647)
In (0.429, 0.429, 0.364)
In (0.505, 0.009, 0.010)
In (0.571, 0.078, 0.647)
In (0.933, 0.933, 0.362)
Au (0.121, 0.121, 0.733)
Au (0.399, 0.873, 0.272)
Au (0.612, 0.612, 0.737)
Au (0.873, 0.399, 0.272)

Results
D(E_F), states/eV/atom: 0.322
Formation energy, meV/atom: -162
DFT total energy, eV/atom: -2.967
ρ, g cm⁻³: 9.559
Total magnetic moment, μB per formula unit: 0.000


[17]
Below is crystalline Na5InAu at its relaxed geometry, with properties calculated at the PBE level.

a b c (Å): 6.153 6.153 10.994
angles (deg): 96.86 96.86 88.15
Element x y z (fractional)
Na (0.018, 0.593, 0.172)
Na (0.152, 0.848, 0.750)
Na (0.251, 0.484, 0.485)
Na (0.407, 0.982, 0.328)
Na (0.484, 0.251, 0.985)
Na (0.516, 0.749, 0.015)
Na (0.593, 0.018, 0.672)
Na (0.749, 0.516, 0.515)
Na (0.848, 0.152, 0.250)
Na (0.982, 0.407, 0.828)
In (0.000, 0.000, 0.000)
In (0.000, 0.000, 0.500)
Au (0.496, 0.504, 0.750)
Au (0.504, 0.496, 0.250)

Results
D(E_F), states/eV/atom: 0.466
Formation energy, meV/atom: -88
E above lowest polymorph, meV per atom: 52
DFT total energy, eV/atom: -1.890
ρ, g cm⁻³: 3.455
Total magnetic moment, μB per formula unit: 0.000


[18]
Below is crystalline Na3InAu2 at its relaxed geometry, with properties calculated at the PBE level.

a b c (Å): 8.866 8.866 8.866
angles (deg): 137.67 61.78 137.18
Element x y z (fractional)
Na (0.181, 0.236, 0.417)
Na (0.250, 0.250, 0.000)
Na (0.319, 0.736, 0.054)
Na (0.681, 0.264, 0.946)
Na (0.750, 0.750, 0.000)
Na (0.819, 0.764, 0.583)
In (0.250, 0.750, 0.500)
In (0.750, 0.250, 0.500)
Au (0.120, 0.730, 0.850)
Au (0.380, 0.230, 0.609)
Au (0.620, 0.770, 0.391)
Au (0.880, 0.270, 0.150)

Results
D(E_F), states/eV/atom: 0.399
Formation energy, meV/atom: -250
DFT total energy, eV/atom: -2.459
ρ, g cm⁻³: 6.086
Total magnetic moment, μB per formula unit: 0.000


[19]
Below is crystalline NaInAu6 at its relaxed geometry, with properties calculated at the PBE level.

a b c (Å): 5.382 5.382 5.382
angles (deg): 90.00 90.00 90.00
Element x y z (fractional)
Na (0.000, 0.000, 0.000)
In (0.500, 0.500, 0.500)
Au (0.000, 0.250, 0.500)
Au (0.000, 0.750, 0.500)
Au (0.250, 0.500, 0.000)
Au (0.500, 0.000, 0.250)
Au (0.500, 0.000, 0.750)
Au (0.750, 0.500, 0.000)

Results
D(E_F), states/eV/atom: 0.485
Formation energy, meV/atom: -80
E above lowest polymorph, meV per atom: 97
DFT total energy, eV/atom: -3.045
ρ, g cm⁻³: 14.052
Total magnetic moment, μB per formula unit: 0.000


[20]
Below is crystalline NaInAu10 at its relaxed geometry, with properties calculated at the PBE level.

a b c (Å): 4.684 5.584 9.726
angles (deg): 90.00 90.00 90.00
Element x y z (fractional)
Na (0.000, 0.000, 0.000)
In (0.000, 0.500, 0.500)
Au (0.000, 0.000, 0.336)
Au (0.000, 0.000, 0.664)
Au (0.000, 0.500, 0.173)
Au (0.000, 0.500, 0.827)
Au (0.500, 0.000, 0.500)
Au (0.500, 0.247, 0.246)
Au (0.500, 0.247, 0.754)
Au (0.500, 0.500, 0.000)
Au (0.500, 0.753, 0.246)
Au (0.500, 0.753, 0.754)

Results
D(E_F), states/eV/atom: 0.247
Formation energy, meV/atom: -99
DFT total energy, eV/atom: -3.168
ρ, g cm⁻³: 13.757
Total magnetic moment, μB per formula unit: 0.000


[21]
Below is crystalline NaNdInAu at its relaxed geometry, with properties calculated at the PBE level.

a b c (Å): 5.225 5.225 5.225
angles (deg): 60.00 60.00 60.00
Element x y z (fractional)
Na (0.000, 0.000, 0.000)
Nd (0.500, 0.500, 0.500)
In (0.250, 0.250, 0.250)
Au (0.750, 0.750, 0.750)

Results
D(E_F), states/eV/atom: 0.716
Formation energy, meV/atom: -397
DFT total energy, eV/atom: -3.423
ρ, g cm⁻³: 7.887
Total magnetic moment, μB per formula unit: 0.000